CePmTe3 | GGA-PBE | optimized geometry

The space group is Pmmn (No. 59, origin choice 2) and the conventional cell measures 4.421, 7.770 and 9.855 Å, with angles of 90.00, 90.00 and 90.00 degrees. The distinct sites, in fractional coordinates, are Ce at (0.250, 0.250, 0.157), Pm at (0.250, 0.750, 0.400), Te at (0.250, 0.523, 0.672) and Te at (0.250, 0.750, 0.067).

The uncorrected formation energy comes out at -1.351 eV/atom. Its energy above the lowest structure with this stoichiometry is 59.3 meV/atom.

***

Na3TlF | GGA-PBE | optimized geometry

The space group is Pm-3m (No. 221) and the conventional cell measures 5.905, 5.905 and 5.905 Å, with angles of 90.00, 90.00 and 90.00 degrees. The distinct sites, in fractional coordinates, are Na at (0.000, 0.000, 0.500), Tl at (0.000, 0.000, 0.000) and F at (0.500, 0.500, 0.500).

The uncorrected formation energy comes out at -0.227 eV/atom. Its energy above the lowest structure with this stoichiometry is 823.4 meV/atom.

***

TbMgB12 | GGA-PBE | optimized geometry

The space group is P4/mmm (No. 123) and the conventional cell measures 4.100, 4.100 and 8.230 Å, with angles of 90.00, 90.00 and 90.00 degrees. The distinct sites, in fractional coordinates, are Tb at (0.000, 0.000, 0.000), Mg at (0.000, 0.000, 0.500), B at (0.200, 0.500, 0.250), B at (0.500, 0.500, 0.099) and B at (0.500, 0.500, 0.400).

The formation energy is -0.207 eV per atom.

***

Mg2TlIn | GGA-PBE | optimized geometry

The space group is F-43m (No. 216) and the conventional cell measures 7.403, 7.403 and 7.403 Å, with angles of 90.00, 90.00 and 90.00 degrees. The distinct sites, in fractional coordinates, are Mg at (0.000, 0.000, 0.000), Mg at (0.250, 0.250, 0.250), Tl at (0.000, 0.000, 0.500) and In at (0.250, 0.250, 0.750).

The formation energy is 0.049 eV per atom.

***

SrBeTe2O8 | GGA-PBE | optimized geometry

The space group is Cmmm (No. 65) and the conventional cell measures 6.340, 7.637 and 6.377 Å, with angles of 90.00, 90.00 and 90.00 degrees. The distinct sites, in fractional coordinates, are Sr at (0.000, 0.000, 0.000), Be at (0.000, 0.000, 0.500), Te at (0.000, 0.500, 0.267), O at (0.000, 0.320, 0.500), O at (0.000, 0.339, 0.000) and O at (0.202, 0.000, 0.297).

The uncorrected formation energy comes out at -1.316 eV/atom.

***

PaRhPb2O8 | GGA-PBE | optimized geometry

The space group is P2/m (No. 10) and the conventional cell measures 5.029, 6.665 and 5.088 Å, with angles of 90.00, 90.37 and 90.00 degrees. The distinct sites, in fractional coordinates, are Pa at (0.000, 0.000, 0.000), Rh at (0.000, 0.500, 0.000), Pb at (0.500, 0.262, 0.500), O at (0.200, 0.259, 0.831), O at (0.256, 0.500, 0.314) and O at (0.293, 0.000, 0.322).

The uncorrected formation energy comes out at -1.566 eV/atom.